Record 1
First-principles (PBE-GGA) data for a relaxed LiFeAu2 crystal, as listed in Alexandria.

```
data_LiFeAu2
_cell_length_a 4.706
_cell_length_b 4.706
_cell_length_c 2.776
_cell_angle_alpha 90.00
_cell_angle_beta 90.00
_cell_angle_gamma 90.00
_symmetry_space_group_name_H-M 'P 1'
_symmetry_Int_Tables_number 1
_symmetry_space_group_name_Hall 'P 1'
loop_
_atom_site_label
_atom_site_type_symbol
_atom_site_fract_x
_atom_site_fract_y
_atom_site_fract_z
Au1 Au 0.000 0.000 0.000
Au2 Au 0.500 0.500 0.000
Fe1 Fe 0.500 0.000 0.500
Li1 Li 0.000 0.500 0.500
```

Record 2
First-principles (PBE-GGA) data for a relaxed LiFeAu2 crystal, as listed in Alexandria.

```
data_LiFeAu2
_cell_length_a 9.385
_cell_length_b 9.385
_cell_length_c 9.385
_cell_angle_alpha 17.39
_cell_angle_beta 17.39
_cell_angle_gamma 17.39
_symmetry_space_group_name_H-M 'P 1'
_symmetry_Int_Tables_number 1
_symmetry_space_group_name_Hall 'P 1'
loop_
_atom_site_label
_atom_site_type_symbol
_atom_site_fract_x
_atom_site_fract_y
_atom_site_fract_z
Au1 Au 0.006 0.006 0.006
Au2 Au 0.245 0.245 0.245
Fe1 Fe 0.499 0.499 0.499
Li1 Li 0.751 0.751 0.751
```

Record 3
First-principles (PBE-GGA) data for a relaxed Li2FeAu2 crystal, as listed in Alexandria.

energy relative to the lowest polymorph listed for this composition	0	meV per atom

```
data_Li2FeAu2
_cell_length_a 7.285
_cell_length_b 7.285
_cell_length_c 2.780
_cell_angle_alpha 90.00
_cell_angle_beta 90.00
_cell_angle_gamma 90.00
_symmetry_space_group_name_H-M 'P 1'
_symmetry_Int_Tables_number 1
_symmetry_space_group_name_Hall 'P 1'
loop_
_atom_site_label
_atom_site_type_symbol
_atom_site_fract_x
_atom_site_fract_y
_atom_site_fract_z
Au1 Au 0.181 0.681 0.500
Au2 Au 0.681 0.819 0.500
Au3 Au 0.819 0.319 0.500
Au4 Au 0.319 0.181 0.500
Fe1 Fe 0.000 0.000 0.000
Fe2 Fe 0.500 0.500 0.000
Li1 Li 0.382 0.882 0.000
Li2 Li 0.882 0.618 0.000
Li3 Li 0.618 0.118 0.000
Li4 Li 0.118 0.382 0.000
```

Number 1: E_form -192 meV/atom. Number 2: E_form 96 meV/atom. Number 3: E_form -117 meV/atom.